Below is crystalline SiGe3Pb at its relaxed geometry, with properties calculated at the PBE-GGA level.

Properties
Space-group type   Pm-3m (221)
Energy above the lowest structure with this stoichiometry   4.47 eV/f.u.
Uncorrected formation energy   1.3809 eV per atom

```
data_SiGe3Pb
_chemical_formula_sum 'Si1 Ge3 Pb1'
_cell_length_a 5.385
_cell_length_b 5.385
_cell_length_c 5.385
_cell_angle_alpha 90.00
_cell_angle_beta 90.00
_cell_angle_gamma 90.00
_space_group_name_H-M_alt 'P 1'
_space_group_IT_number 1
loop_
_space_group_symop_operation_xyz
'x,y,z'
loop_
_atom_site_label
_atom_site_type_symbol
_atom_site_fract_x
_atom_site_fract_y
_atom_site_fract_z
Pb1 Pb 0.000 0.000 0.000
Ge1 Ge 0.000 0.500 0.000
Ge2 Ge 0.000 0.000 0.500
Ge3 Ge 0.500 0.000 0.000
Si1 Si 0.500 0.500 0.500
```